[1]
4
Lattice="-0.529 3.762 -0.569 -5.559 -0.487 1.952 1.839 1.092 5.511" Properties=species:S:1:pos:R:3 comment="CaPm2Pu, optimized geometry, DFT PBE" de_polymorph_ev_per_atom=0.089 delta_e_f_mev_per_atom=223 e_tot_ev_per_atom=-6.2354 pbc="T T T"
Pu -0.265 1.881 -0.284
Ca -2.124 2.183 3.447
Pm -2.779 -0.244 0.976
Pm 0.920 0.546 2.756

***

[2]
4
Lattice="-5.485 -1.939 1.601 -2.952 -3.646 -3.795 5.493 0.325 2.475" Properties=species:S:1:pos:R:3 comment="KSc2Au, optimized geometry, DFT PBE" de_polymorph_ev_per_atom=0.442 delta_e_f_mev_per_atom=333 e_tot_ev_per_atom=-3.9268 pbc="T T T"
Sc 0.000 0.000 0.000
Sc -0.839 -3.056 -1.208
Au -4.218 -2.792 -1.097
K -2.105 -2.203 1.490

***

[3]
12
Lattice="4.156 0.000 -0.003 0.000 6.474 0.000 -2.084 0.000 7.853" Properties=species:S:1:pos:R:3 comment="SmGa4Co, optimized geometry, DFT PBE" delta_e_f_mev_per_atom=-512 e_tot_ev_per_atom=-4.5011 pbc="T T T"
Co 2.078 4.855 3.496
Co -0.006 1.618 4.354
Ga 2.075 4.855 1.171
Ga 0.000 0.000 0.000
Ga -0.003 1.618 6.679
Ga -0.001 3.568 2.971
Ga 2.073 0.331 4.879
Ga -0.001 6.143 2.971
Ga 2.073 2.906 4.879
Ga 0.000 3.237 0.000
Sm -0.004 4.855 6.009
Sm 2.076 1.618 1.840

***

[4]
12
Lattice="-5.030 -4.967 -3.679 2.927 -1.869 7.172 -5.797 6.155 2.494" Properties=species:S:1:pos:R:3 comment="Rb3ZrBi2Te6, optimized geometry, DFT PBE" e_tot_ev_per_atom=-3.8797 formation_energy_uncorrected_ev_per_atom=-0.71 pbc="T T T"
Te -2.721 -3.938 3.119
Te -5.063 0.125 6.434
Te -0.341 0.167 2.959
Te -7.560 -0.847 3.028
Te -5.180 3.257 2.868
Te -2.838 -0.805 -0.447
Rb -1.347 0.673 6.544
Rb -3.950 -0.340 2.993
Rb -6.554 -1.354 -0.557
Bi 0.267 -2.904 3.546
Bi -2.371 -3.931 -0.052
Zr 0.000 0.000 0.000

***

no.,density (kg/m3)
1,7101
2,5440
3,7676
4,5506